Here is an optimized crystal structure of LiLuCuRh from the Alexandria database. Energies are from PBE.

```
data_LiLuCuRh
_cell_length_a 4.512
_cell_length_b 4.512
_cell_length_c 4.512
_cell_angle_alpha 60.00
_cell_angle_beta 60.00
_cell_angle_gamma 60.00
_space_group_name_H-M_alt 'P 1'
_space_group_IT_number 1
loop_
_space_group_symop_operation_xyz
'x,y,z'
loop_
_atom_site_label
_atom_site_fract_x
_atom_site_fract_y
_atom_site_fract_z
Li1 0.000 0.000 0.000
Lu1 0.750 0.750 0.750
Cu1 0.250 0.250 0.250
Rh1 0.500 0.500 0.500
```

Computed properties:
formation energy	-1.408	eV/f.u.
theoretical density	8.9	g cm⁻³

***

Here is an optimized crystal structure of LiLuCuRu from the Alexandria database. Energies are from PBE.

```
data_LiLuCuRu
_cell_length_a 4.503
_cell_length_b 4.503
_cell_length_c 4.503
_cell_angle_alpha 60.00
_cell_angle_beta 60.00
_cell_angle_gamma 60.00
_space_group_name_H-M_alt 'P 1'
_space_group_IT_number 1
loop_
_space_group_symop_operation_xyz
'x,y,z'
loop_
_atom_site_label
_atom_site_fract_x
_atom_site_fract_y
_atom_site_fract_z
Li1 0.000 0.000 0.000
Lu1 0.500 0.500 0.500
Cu1 0.250 0.250 0.250
Ru1 0.750 0.750 0.750
```

Computed properties:
formation energy	-0.084	eV/f.u.
theoretical density	8.9	g cm⁻³

***

Here is an optimized crystal structure of LiLuScCu from the Alexandria database. Energies are from PBE.

```
data_LiLuScCu
_cell_length_a 4.810
_cell_length_b 4.810
_cell_length_c 4.810
_cell_angle_alpha 60.00
_cell_angle_beta 60.00
_cell_angle_gamma 60.00
_space_group_name_H-M_alt 'P 1'
_space_group_IT_number 1
loop_
_space_group_symop_operation_xyz
'x,y,z'
loop_
_atom_site_label
_atom_site_fract_x
_atom_site_fract_y
_atom_site_fract_z
Li1 0.000 0.000 0.000
Lu1 0.750 0.750 0.750
Sc1 0.250 0.250 0.250
Cu1 0.500 0.500 0.500
```

Computed properties:
formation energy	-0.198	eV/f.u.
theoretical density	6.1	g cm⁻³

***

Here is an optimized crystal structure of LiLuCuSi from the Alexandria database. Energies are from PBE.

```
data_LiLuCuSi
_cell_length_a 4.583
_cell_length_b 4.583
_cell_length_c 4.583
_cell_angle_alpha 60.00
_cell_angle_beta 60.00
_cell_angle_gamma 60.00
_space_group_name_H-M_alt 'P 1'
_space_group_IT_number 1
loop_
_space_group_symop_operation_xyz
'x,y,z'
loop_
_atom_site_label
_atom_site_fract_x
_atom_site_fract_y
_atom_site_fract_z
Li1 0.000 0.000 0.000
Lu1 0.500 0.500 0.500
Cu1 0.750 0.750 0.750
Si1 0.250 0.250 0.250
```

Computed properties:
energy relative to the elements, uncorrected	-7.019	kcal/mol of atoms
theoretical density	6.7	g cm⁻³

***

Here is an optimized crystal structure of LiSmLuCu from the Alexandria database. Energies are from PBE.

```
data_LiSmLuCu
_cell_length_a 5.025
_cell_length_b 5.025
_cell_length_c 5.025
_cell_angle_alpha 60.00
_cell_angle_beta 60.00
_cell_angle_gamma 60.00
_space_group_name_H-M_alt 'P 1'
_space_group_IT_number 1
loop_
_space_group_symop_operation_xyz
'x,y,z'
loop_
_atom_site_label
_atom_site_fract_x
_atom_site_fract_y
_atom_site_fract_z
Li1 0.000 0.000 0.000
Sm1 0.250 0.250 0.250
Lu1 0.750 0.750 0.750
Cu1 0.500 0.500 0.500
```

Computed properties:
formation energy	-0.122	eV/f.u.
theoretical density	7.3	g cm⁻³

***

Here is an optimized crystal structure of LiLuTlCu from the Alexandria database. Energies are from PBE.

```
data_LiLuTlCu
_cell_length_a 4.693
_cell_length_b 4.693
_cell_length_c 4.693
_cell_angle_alpha 60.00
_cell_angle_beta 60.00
_cell_angle_gamma 60.00
_space_group_name_H-M_alt 'P 1'
_space_group_IT_number 1
loop_
_space_group_symop_operation_xyz
'x,y,z'
loop_
_atom_site_label
_atom_site_fract_x
_atom_site_fract_y
_atom_site_fract_z
Li1 0.000 0.000 0.000
Lu1 0.250 0.250 0.250
Tl1 0.750 0.750 0.750
Cu1 0.500 0.500 0.500
```

Computed properties:
formation energy	-0.884	eV/f.u.
theoretical density	10.2	g cm⁻³